PdSe2Br | GGA-PBE | relaxed

```
PdSe2Br
1.0
2.2636 0.0000 7.7180
-1.1318 1.9603 7.7180
-1.1318 -1.9603 7.7180
Pd Se Br
1 2 1
direct
0.5000 0.5000 0.5000 Pd
0.8861 0.8861 0.8861 Se
0.1139 0.1139 0.1139 Se
0.0000 0.0000 0.0000 Br
```

Computed properties:
- SG: R-3m
- ΔE_f (raw): -0.23 eV per atom
- ΔE to the lowest computed polymorph: 0.024 eV/atom
- DOS at the Fermi energy: 1.4 states/eV/f.u.



PdSe2Br | GGA-PBE | relaxed

```
PdSe2Br
1.0
3.9197 0.0000 0.0000
-1.9598 3.3946 0.0000
0.0000 0.0000 15.4594
Se Br Pd
4 2 2
direct
0.6667 0.3333 0.9209 Se
0.3333 0.6667 0.4209 Se
0.3333 0.6667 0.0791 Se
0.6667 0.3333 0.5791 Se
0.6667 0.3333 0.7500 Br
0.3333 0.6667 0.2500 Br
0.0000 0.0000 0.0000 Pd
0.0000 0.0000 0.5000 Pd
```

Computed properties:
- SG: P6_3/mmc
- ΔE_f (raw): -0.23 eV per atom
- ΔE to the lowest computed polymorph: 0.027 eV/atom
- DOS at the Fermi energy: 1.6 states/eV/f.u.



PdSeBr2 | GGA-PBE | relaxed

```
PdSeBr2
1.0
1.8381 -1.7640 7.9583
1.6662 -5.3019 6.2401
4.9422 -3.1364 5.9635
Pd Se Br
1 1 2
direct
0.5000 0.5000 0.5000 Pd
0.0000 0.0000 0.0000 Se
0.8943 0.8943 0.8943 Br
0.1057 0.1057 0.1057 Br
```

Computed properties:
- SG: R-3m
- ΔE_f (raw): 0.15 eV per atom
- DOS at the Fermi energy: 2.7 states/eV/f.u.



PdSeBr2 | GGA-PBE | relaxed

```
PdSeBr2
1.0
7.4003 0.0000 0.0000
0.0000 7.4003 0.0000
3.7001 3.7001 3.4823
Br Pd Se
4 2 2
direct
0.8750 0.9095 0.7500 Br
0.3750 0.3405 0.7500 Br
0.0905 0.6250 0.2500 Br
0.6595 0.1250 0.2500 Br
0.0000 0.0000 0.0000 Pd
0.7500 0.2500 0.5000 Pd
0.2500 0.7500 0.5000 Se
0.5000 0.5000 0.0000 Se
```

Computed properties:
- SG: I-42d
- ΔE_f (raw): 0.35 eV per atom
- DOS at the Fermi energy: 2.4 states/eV/f.u.



PdSe2Br | GGA-PBE | relaxed

```
PdSe2Br
1.0
3.8538 0.0000 0.0000
1.9269 3.3375 0.0000
1.9269 1.1125 7.0095
Br Se Pd
1 2 1
direct
0.5000 0.5000 0.5000 Br
0.2749 0.2749 0.1753 Se
0.7251 0.7251 0.8247 Se
0.0000 0.0000 0.0000 Pd
```

Computed properties:
- SG: R-3m
- ΔE_f (raw): -0.17 eV per atom
- ΔE to the lowest computed polymorph: 0.087 eV/atom
- DOS at the Fermi energy: 2.7 states/eV/f.u.



PdSe6Br3 | GGA-PBE | relaxed

```
PdSe6Br3
1.0
-8.1160 0.3472 4.1935
5.1509 -6.4070 3.9993
4.1398 8.1074 0.8408
Br Se Pd
6 12 2
direct
0.8793 0.2607 0.7580 Br
0.7580 0.8793 0.2607 Br
0.2420 0.1207 0.7393 Br
0.2607 0.7580 0.8793 Br
0.1207 0.7393 0.2420 Br
0.7393 0.2420 0.1207 Br
0.1338 0.0531 0.3280 Se
0.8662 0.9469 0.6720 Se
0.6202 0.5630 0.8216 Se
0.3798 0.4370 0.1784 Se
0.9469 0.6720 0.8662 Se
0.8216 0.6202 0.5630 Se
0.6720 0.8662 0.9469 Se
0.4370 0.1784 0.3798 Se
0.0531 0.3280 0.1338 Se
0.1784 0.3798 0.4370 Se
0.3280 0.1338 0.0531 Se
0.5630 0.8216 0.6202 Se
0.5000 0.5000 0.5000 Pd
0.0000 0.0000 0.0000 Pd
```

Computed properties:
- SG: R-3
- ΔE_f (raw): -0.12 eV per atom
- DOS at the Fermi energy: 4.9 states/eV/f.u.



Question: DOS at the Fermi energy of number 1 (PdSe2Br)?
Answer: 1.4 states/eV/f.u.